Here is a relaxed AcThCo4 crystal from Alexandria via LeMat-Bulk. Energies are from PBE.

Results
SG: No. 71
Formation enthalpy at 0 K: -0.08 eV/atom
Energy above the lowest structure with this stoichiometry: 0 meV per atom
M_tot: 1.64 μB/cell
N(E_F): 7.49 states/eV/f.u.

```
AcThCo4
1.0
0.013 3.681 1.449
3.080 0.193 4.882
4.943 2.651 -1.376
Co Th Ac
4 1 1
Cartesian
6.410 5.292 2.702
2.242 2.045 0.186
5.795 4.480 4.769
1.626 1.233 2.253
0.013 3.681 1.449
4.018 3.263 2.478
```